[1]
The following is a DFT calculation (PBE-GGA) of crystalline DyTmCoCu at its relaxed geometry.

Properties
Energy relative to the lowest polymorph listed for this composition in meV per atom: 21
E_form in eV/atom: -0.218

abc: 4.7728 4.7728 4.7728
angles: 60.00 60.00 60.00
Positions (direct):
1 Dy 0.0000 0.0000 0.0000
2 Tm 0.5000 0.5000 0.5000
3 Co 0.7500 0.7500 0.7500
4 Cu 0.2500 0.2500 0.2500

---

[2]
The following is a DFT calculation (PBE-GGA) of crystalline Sc2MnSe at its relaxed geometry.

Properties
Energy relative to the elements, uncorrected in eV/atom: -0.514

abc: 8.0079 8.0079 8.0079
angles: 25.22 25.22 25.22
Positions (direct):
1 Sc 0.2447 0.2447 0.2447
2 Sc 0.7553 0.7553 0.7553
3 Mn 0.0000 0.0000 0.0000
4 Se 0.5000 0.5000 0.5000

---

[3]
The following is a DFT calculation (PBE-GGA) of crystalline Nd2Ni7 at its relaxed geometry.

Properties
E_form in eV/atom: -0.305

abc: 12.5617 12.5617 12.5617
angles: 23.03 23.03 23.03
Positions (direct):
1 Nd 0.0506 0.0506 0.0506
2 Nd 0.1469 0.1469 0.1469
3 Nd 0.8531 0.8531 0.8531
4 Nd 0.9494 0.9494 0.9494
5 Ni 0.0000 0.5000 0.5000
6 Ni 0.1093 0.6082 0.6082
7 Ni 0.2786 0.2786 0.2786
8 Ni 0.3876 0.3876 0.3876
9 Ni 0.3918 0.3918 0.8907
10 Ni 0.3918 0.8907 0.3918
11 Ni 0.5000 0.0000 0.5000
12 Ni 0.5000 0.5000 0.0000
13 Ni 0.5000 0.5000 0.5000
14 Ni 0.6082 0.1093 0.6082
15 Ni 0.6082 0.6082 0.1093
16 Ni 0.6124 0.6124 0.6124
17 Ni 0.7214 0.7214 0.7214
18 Ni 0.8907 0.3918 0.3918

---

[4]
The following is a DFT calculation (PBE-GGA) of crystalline MnAl at its relaxed geometry.

Properties
E_form in eV/atom: -0.106

abc: 5.4706 5.4706 5.4706
angles: 98.49 98.49 134.80
Positions (direct):
1 Mn 0.1564 0.1564 0.3128
2 Mn 0.1564 0.8436 0.0000
3 Mn 0.8436 0.1564 0.0000
4 Mn 0.8436 0.8436 0.6872
5 Al 0.2162 0.5000 0.7162
6 Al 0.5000 0.2162 0.7162
7 Al 0.5000 0.7838 0.2838
8 Al 0.7838 0.5000 0.2838

---

[5]
The following is a DFT calculation (PBE-GGA) of crystalline Ce2ZnCo at its relaxed geometry.

Properties
Energy relative to the lowest polymorph listed for this composition in meV per atom: 157
E_form in eV/atom: -0.054

abc: 7.9454 7.9454 7.9454
angles: 27.64 27.64 27.64
Positions (direct):
1 Ce 0.0000 0.0000 0.0000
2 Ce 0.1983 0.1983 0.1983
3 Zn 0.4312 0.4312 0.4312
4 Co 0.6004 0.6004 0.6004

---

Number 1: size of the total moment 0.3 Bohr magnetons per cell, N(E_F) 0.837 states/eV per atom. Number 2: size of the total moment 2.9 Bohr magnetons per cell, N(E_F) 1.195 states/eV per atom. Number 3: size of the total moment 2.6 Bohr magnetons per cell, N(E_F) 1.069 states/eV per atom. Number 4: size of the total moment 0.5 Bohr magnetons per cell, N(E_F) 1.008 states/eV per atom. Number 5: size of the total moment 0.8 Bohr magnetons per cell, N(E_F) 2.016 states/eV per atom.